## HfH4Ru (PBE)

Data for crystalline HfH4Ru at its relaxed geometry.

Cell lengths 3.233, 3.233, 5.397 Å; angles 107.28, 107.28, 60.51 degrees
Positions (direct):
Hf 0.000 0.000 0.000
H 0.138 0.138 0.419
H 0.380 0.380 0.137
H 0.620 0.620 0.863
H 0.862 0.862 0.581
Ru 0.500 0.500 0.500

* energy relative to the lowest polymorph listed for this composition: 36 meV per atom
* symmetry: C2/m (12)
* total moment: 0.00 μB/f.u.
* Fermi-level density of states: 0.281 states/eV per atom
* V: 46.12 Å³/f.u.